(1)
The following is a PBE calculation of a relaxed structure of V2GeP, from Alexandria.

Cell: 3.436 3.436 6.127 Å, 73.71 73.71 60.00°
Sites, in units of the cell vectors:
1 Ge 0.500 0.500 0.500
2 V 0.264 0.264 0.208
3 V 0.736 0.736 0.792
4 P 0.000 0.000 0.000

Properties
energy of formation from the pure elements	-118.0	kJ/mol of formula units
SG	No. 166

(2)
The following is a PBE calculation of a relaxed structure of GdMgPd2, from Alexandria.

Cell: 3.389 3.389 6.702 Å, 90.00 90.00 90.00°
Last column: magnetic moment on the atom in μB.
Sites, in units of the cell vectors:
1 Pd 0.000 0.000 0.277  0.01
2 Pd 0.000 0.000 0.723  0.01
3 Gd 0.500 0.500 0.000  -6.98
4 Mg 0.500 0.500 0.500  0.00

Properties
energy of formation from the pure elements	-293.3	kJ/mol of formula units
SG	No. 123

(3)
The following is a PBE calculation of a relaxed structure of LaCePbAu, from Alexandria.

Cell: 5.482 5.482 5.482 Å, 60.00 60.00 60.00°
Last column: magnetic moment on the atom in μB.
Sites, in units of the cell vectors:
1 La 0.750 0.750 0.750  0.23
2 Pb 0.500 0.500 0.500  -0.03
3 Au 0.000 0.000 0.000  0.04
4 Ce 0.250 0.250 0.250  1.11

Properties
energy of formation from the pure elements	-210.1	kJ/mol of formula units
SG	No. 216